The following is a DFT calculation (PBE) of a geometry-optimized Tm2Si9Ir3 structure.

Structure (POSCAR):
```
Tm2Si9Ir3
1.0
-0.376 -2.637 -6.937
5.942 -1.795 4.085
-6.097 -4.962 6.111
Tm Si Ir
4 18 6
Direct
0.316 0.275 0.740 Tm
0.684 0.725 0.260 Tm
0.035 0.576 0.760 Tm
0.965 0.424 0.240 Tm
0.468 0.909 0.749 Si
0.532 0.091 0.251 Si
0.659 0.719 0.751 Si
0.341 0.281 0.249 Si
0.471 0.640 0.948 Si
0.529 0.360 0.052 Si
0.192 0.523 0.552 Si
0.808 0.477 0.448 Si
0.853 0.103 0.750 Si
0.147 0.897 0.250 Si
0.113 0.972 0.908 Si
0.887 0.028 0.092 Si
0.564 0.205 0.592 Si
0.436 0.795 0.408 Si
0.896 0.851 0.593 Si
0.104 0.149 0.407 Si
0.758 0.303 0.907 Si
0.242 0.697 0.093 Si
0.500 0.000 0.000 Ir
0.500 0.500 0.500 Ir
0.803 0.122 0.498 Ir
0.197 0.878 0.502 Ir
0.125 0.305 0.002 Ir
0.875 0.695 0.998 Ir
```

Calculated values
total moment	0.00	Bohr magnetons per cell
SG	C2/c (15)
Fermi-level density of states	11.70	states/eV/cell
VASP energy	-6.434	eV/atom
uncorrected formation energy	-0.410	eV per atom